Entry 1:
Compound: PrLu3S6
Source: the Alexandria database
Functional: meta-GGA SCAN
Structure: single point on PBEsol structure

abc: 10.7771 3.8759 11.0646
angles: 90.00 109.02 90.00
Space group P2_1/m (No. 11)
Asymmetric unit:
1 Pr 0.0512 0.2500 0.1976 (multiplicity 2)
2 Lu 0.1606 0.2500 0.5876 (multiplicity 2)
3 Lu 0.3211 0.7500 0.9992 (multiplicity 2)
4 Lu 0.4444 0.2500 0.3336 (multiplicity 2)
5 S 0.0833 0.7500 0.4086 (multiplicity 2)
6 S 0.1227 0.2500 0.9647 (multiplicity 2)
7 S 0.1996 0.7500 0.7490 (multiplicity 2)
8 S 0.2690 0.7500 0.2294 (multiplicity 2)
9 S 0.3919 0.2500 0.5557 (multiplicity 2)
10 S 0.4805 0.2500 0.1127 (multiplicity 2)

The calculation puts the uncorrected energy at -581.58 eV for the cell shown. Its formation energy (no corrections) is -2366 meV per atom. As for the size of the total moment: 0.00 μB/f.u.

=====

Entry 2:
Compound: PrLuSe3
Source: the Alexandria database
Functional: meta-GGA SCAN
Structure: single point on PBEsol structure

abc: 3.9886 12.9030 9.8489
angles: 90.00 90.00 90.00
Space group Cmcm (No. 63)
Asymmetric unit:
1 Pr 0.0000 0.2481 0.2500 (multiplicity 4)
2 Lu 0.0000 0.5000 0.0000 (multiplicity 4)
3 Se 0.0000 0.1438 0.5606 (multiplicity 8)
4 Se 0.0000 0.4165 0.7500 (multiplicity 4)

The calculation puts the uncorrected energy at -678.36 eV for the cell shown. Its formation energy (no corrections) is -2137 meV per atom. As for the size of the total moment: 0.00 μB/f.u.

=====

Entry 3:
Compound: LuPt3
Source: the Alexandria database
Functional: meta-GGA SCAN
Structure: single point on PBEsol structure

abc: 4.0121 4.0121 4.0121
angles: 90.00 90.00 90.00
Space group Pm-3m (No. 221)
Asymmetric unit:
1 Lu 0.0000 0.0000 0.0000 (multiplicity 1)
2 Pt 0.0000 0.5000 0.5000 (multiplicity 3)

The calculation puts the uncorrected energy at -270.91 eV for the cell shown. As for the size of the total moment: 0.00 μB/f.u. For the density of states at the Fermi level, the calculation gives 2.98 states/eV/f.u.